The following is a PBE-GGA calculation of a relaxed Be2ZnCu crystal, from OQMD via LeMat-Bulk.

Cell lengths 3.909, 3.909, 3.909 Å; angles 60.00, 60.00, 60.00 degrees
Fractional coordinates of all 4 atoms:
Be: 0.000 0.000 0.000
Be: 0.250 0.250 0.250
Zn: 0.750 0.750 0.750
Cu: 0.500 0.500 0.500

Density (Mg/m³): 5.8
Total energy (eV/f.u.): -12.2
Crystal system: cubic